# 1
Entry from Alexandria via LeMat-Bulk: crystalline TbHoTlTe at its relaxed geometry (PBE-GGA).

Geometry as extended XYZ:
```
4
Lattice="2.093 1.208 7.832 -2.093 1.208 7.832 0.000 -2.416 7.832" Properties=species:S:1:pos:R:3 pbc="T T T"
Tb 0.000 0.000 0.000
Ho 0.000 0.000 11.794
Tl 0.000 0.000 17.663
Te 0.000 0.000 5.879
```

total energy: -17.9 eV for the cell shown
theoretical density: 9.2 Mg/m³
density of states at the Fermi level: 0.463 states/eV/atom
magnetization: 0.0000 μB per atom
formation energy without anion corrections: -802 meV/atom

---

# 2
Entry from Alexandria via LeMat-Bulk: crystalline TbHo3Tl4Te8 at its relaxed geometry (PBE-GGA).

Geometry as extended XYZ:
```
16
Lattice="4.444 2.566 8.188 -4.444 2.566 8.188 0.000 -5.131 8.188" Properties=species:S:1:pos:R:3 pbc="T T T"
Tb 0.000 0.000 0.000
Ho -2.222 -1.283 8.188
Ho -2.222 1.283 16.375
Ho 0.000 2.566 8.188
Tl -4.444 0.000 12.281
Tl -2.222 1.283 4.094
Tl 2.222 1.283 4.094
Tl 0.000 0.000 12.282
Te 0.000 -2.552 9.931
Te -2.210 1.276 9.931
Te 0.000 0.000 6.452
Te -2.210 -1.276 14.632
Te 2.210 1.276 9.931
Te 0.000 0.000 18.111
Te 2.210 -1.276 14.632
Te 0.000 2.552 14.632
```

total energy: -69.8 eV for the cell shown
theoretical density: 7.4 Mg/m³
magnetization: 0.0000 μB per atom
formation energy without anion corrections: -1049 meV/atom

---

# 3
Entry from Alexandria via LeMat-Bulk: crystalline Tb3HoTl3Te8 at its relaxed geometry (PBE-GGA).

Geometry as extended XYZ:
```
15
Lattice="7.634 -4.400 0.000 7.634 4.400 0.000 -5.096 0.000 8.188" Properties=species:S:1:pos:R:3 pbc="T T T"
Tb 0.000 0.000 0.000
Tb 3.817 2.200 0.000
Tb 3.817 -2.200 0.000
Ho 7.634 0.000 0.000
Tl 1.269 2.200 4.094
Tl 1.269 -2.200 4.094
Tl 5.086 0.000 4.094
Te 2.543 0.000 1.776
Te 6.362 2.197 1.761
Te -0.002 0.000 6.427
Te 3.810 2.197 6.427
Te 6.362 -2.197 1.761
Te 10.174 0.000 1.761
Te 3.810 -2.197 6.427
Te 7.629 0.000 6.411
```

total energy: -66.5 eV for the cell shown
theoretical density: 6.9 Mg/m³
density of states at the Fermi level: 0.392 states/eV/atom
magnetization: 0.0000 μB per atom
formation energy without anion corrections: -1056 meV/atom

---

# 4
Entry from Alexandria via LeMat-Bulk: crystalline TbHo3Tl3Te8 at its relaxed geometry (PBE-GGA).

Geometry as extended XYZ:
```
15
Lattice="7.602 -4.381 0.000 7.602 4.381 0.000 -5.075 0.000 8.183" Properties=species:S:1:pos:R:3 pbc="T T T"
Tb 0.000 0.000 0.000
Ho 3.801 2.191 0.000
Ho 3.801 -2.191 0.000
Ho 7.602 0.000 0.000
Tl -2.537 0.000 4.091
Tl 1.264 2.191 4.091
Tl 1.264 -2.191 4.091
Te 2.562 0.000 1.761
Te 6.318 2.165 1.761
Te -0.006 0.000 6.426
Te 3.810 2.165 6.421
Te 6.318 -2.165 1.761
Te 10.134 0.000 1.757
Te 3.810 -2.165 6.421
Te 7.567 0.000 6.421
```

total energy: -66.3 eV for the cell shown
theoretical density: 7.0 Mg/m³
density of states at the Fermi level: 0.391 states/eV/atom
magnetization: 0.0000 μB per atom
formation energy without anion corrections: -1049 meV/atom

---

# 5
Entry from Alexandria via LeMat-Bulk: crystalline Tb3HoTl4Te8 at its relaxed geometry (PBE-GGA).

Geometry as extended XYZ:
```
16
Lattice="4.459 2.574 8.186 -4.459 2.574 8.186 0.000 -5.148 8.186" Properties=species:S:1:pos:R:3 pbc="T T T"
Tb -2.229 -1.287 8.186
Tb -2.229 1.287 16.372
Tb 0.000 2.574 8.186
Ho 0.000 0.000 0.000
Tl -4.459 0.000 12.279
Tl -2.229 1.287 4.093
Tl 2.229 1.287 4.093
Tl 0.000 0.000 12.279
Te 0.000 -2.588 9.933
Te -2.242 1.294 9.933
Te -2.242 -1.294 14.625
Te 0.000 0.000 6.430
Te 0.000 0.000 18.128
Te 2.242 1.294 9.933
Te 2.242 -1.294 14.625
Te 0.000 2.588 14.625
```

total energy: -70.0 eV for the cell shown
theoretical density: 7.3 Mg/m³
magnetization: 0.0000 μB per atom
formation energy without anion corrections: -1056 meV/atom

---

# 6
Entry from Alexandria via LeMat-Bulk: crystalline Tb3HoTm2Te6 at its relaxed geometry (PBE-GGA).

Geometry as extended XYZ:
```
12
Lattice="9.492 -2.159 0.000 9.492 2.159 0.000 -2.129 0.000 8.469" Properties=species:S:1:pos:R:3 pbc="T T T"
Tb 0.000 0.000 0.000
Tb 4.942 0.000 5.653
Tb 11.912 0.000 2.816
Ho -1.065 0.000 4.235
Tm 5.989 0.000 1.427
Tm 10.865 0.000 7.042
Te 1.917 0.000 4.975
Te 3.033 0.000 0.672
Te 8.920 0.000 2.127
Te 7.934 0.000 6.342
Te 13.821 0.000 7.797
Te 14.937 0.000 3.494
```

total energy: -61.3 eV for the cell shown
theoretical density: 8.3 Mg/m³
density of states at the Fermi level: 0.520 states/eV/atom
magnetization: 0.0000 μB per atom
formation energy without anion corrections: -1253 meV/atom

---

# 7
Entry from Alexandria via LeMat-Bulk: crystalline Tb3Ho3TmTe8 at its relaxed geometry (PBE-GGA).

Geometry as extended XYZ:
```
15
Lattice="4.334 2.502 7.084 -4.334 2.502 7.084 0.000 -5.005 7.084" Properties=species:S:1:pos:R:3 pbc="T T T"
Tb -2.167 -1.251 7.084
Tb -2.167 1.251 14.167
Tb 0.000 2.502 7.084
Ho -4.334 0.000 10.625
Ho -2.167 1.251 3.542
Ho 2.167 1.251 3.542
Tm 0.000 0.000 10.625
Te -2.204 -1.272 12.405
Te 0.000 -2.545 8.846
Te -2.204 1.272 8.846
Te 0.000 0.000 5.291
Te 0.000 0.000 15.960
Te 2.204 -1.272 12.405
Te 0.000 2.545 12.405
Te 2.204 1.272 8.846
```

total energy: -77.5 eV for the cell shown
theoretical density: 7.8 Mg/m³
density of states at the Fermi level: 0.445 states/eV/atom
magnetization: 0.0000 μB per atom
formation energy without anion corrections: -1350 meV/atom

---

# 8
Entry from Alexandria via LeMat-Bulk: crystalline Tb3HoTm3Te8 at its relaxed geometry (PBE-GGA).

Geometry as extended XYZ:
```
15
Lattice="4.319 2.494 7.056 -4.319 2.494 7.056 0.000 -4.987 7.056" Properties=species:S:1:pos:R:3 pbc="T T T"
Tb -2.160 -1.247 7.056
Tb -2.160 1.247 14.113
Tb 0.000 2.494 7.056
Ho 0.000 0.000 10.585
Tm -4.319 0.000 10.585
Tm -2.160 1.247 3.528
Tm 2.160 1.247 3.528
Te -2.225 -1.285 12.359
Te 0.000 -2.569 8.810
Te -2.225 1.285 8.810
Te 0.000 0.000 5.250
Te 0.000 0.000 15.919
Te 2.225 -1.285 12.359
Te 0.000 2.569 12.359
Te 2.225 1.285 8.810
```

total energy: -77.0 eV for the cell shown
theoretical density: 7.9 Mg/m³
density of states at the Fermi level: 0.442 states/eV/atom
magnetization: 0.0000 μB per atom
formation energy without anion corrections: -1332 meV/atom

---

# 9
Entry from Alexandria via LeMat-Bulk: crystalline Tb2Ho3TmTe6 at its relaxed geometry (PBE-GGA).

Geometry as extended XYZ:
```
12
Lattice="9.452 -2.159 0.000 9.452 2.159 0.000 -1.956 0.000 8.503" Properties=species:S:1:pos:R:3 pbc="T T T"
Tb 2.546 0.000 2.854
Tb 14.403 0.000 5.650
Ho 1.591 0.000 7.081
Ho 8.474 0.000 4.252
Ho 15.358 0.000 1.422
Tm 9.452 0.000 0.000
Te -1.450 0.000 6.403
Te 5.528 0.000 3.537
Te 4.549 0.000 7.831
Te 12.400 0.000 0.672
Te 11.421 0.000 4.966
Te 18.399 0.000 2.100
```

total energy: -61.4 eV for the cell shown
theoretical density: 8.4 Mg/m³
density of states at the Fermi level: 0.548 states/eV/atom
magnetization: 0.0000 μB per atom
formation energy without anion corrections: -1254 meV/atom

---

# 10
Entry from Alexandria via LeMat-Bulk: crystalline Tb2HoTmTe6 at its relaxed geometry (PBE-GGA).

Geometry as extended XYZ:
```
10
Lattice="3.839 2.216 7.007 -3.839 2.216 7.007 0.000 -4.432 7.007" Properties=species:S:1:pos:R:3 pbc="T T T"
Tb 0.000 0.000 0.000
Tb 0.000 0.000 10.508
Ho 0.000 0.000 3.903
Tm 0.000 0.000 14.409
Te -2.669 0.100 8.978
Te -1.169 -2.099 12.494
Te 1.248 -2.361 8.978
Te -1.234 2.062 12.494
Te 1.421 2.262 8.978
Te 2.402 0.037 12.494
```

total energy: -50.7 eV for the cell shown
theoretical density: 6.6 Mg/m³
magnetization: 0.0000 μB per atom
formation energy without anion corrections: -1355 meV/atom

---

# 11
Entry from Alexandria via LeMat-Bulk: crystalline Tb3Y2HoTe6 at its relaxed geometry (PBE-GGA).

Geometry as extended XYZ:
```
12
Lattice="9.507 -2.174 0.000 9.507 2.174 0.000 -2.013 0.000 8.532" Properties=species:S:1:pos:R:3 pbc="T T T"
Tb 0.000 0.000 0.000
Tb 4.975 0.000 5.687
Tb 12.028 0.000 2.844
Y 5.989 0.000 1.414
Y 11.013 0.000 7.118
Ho -1.006 0.000 4.266
Te 1.970 0.000 4.975
Te 2.998 0.000 0.707
Te 9.000 0.000 2.152
Te 8.002 0.000 6.379
Te 14.004 0.000 7.825
Te 15.032 0.000 3.556
```

total energy: -65.8 eV for the cell shown
theoretical density: 7.5 Mg/m³
density of states at the Fermi level: 0.532 states/eV/atom
magnetization: 0.0000 μB per atom
formation energy without anion corrections: -1299 meV/atom

---

# 12
Entry from Alexandria via LeMat-Bulk: crystalline Tb3YHo3Te8 at its relaxed geometry (PBE-GGA).

Geometry as extended XYZ:
```
15
Lattice="4.340 2.506 7.085 -4.340 2.506 7.085 0.000 -5.011 7.085" Properties=species:S:1:pos:R:3 pbc="T T T"
Tb -2.170 -1.253 7.085
Tb -2.170 1.253 14.170
Tb 0.000 2.506 7.085
Y 0.000 0.000 10.627
Ho -4.340 0.000 10.627
Ho -2.170 1.253 3.542
Ho 2.170 1.253 3.542
Te -2.230 -1.287 12.426
Te 0.000 -2.575 8.829
Te -2.230 1.287 8.829
Te 0.000 0.000 5.292
Te 0.000 0.000 15.963
Te 2.230 -1.287 12.426
Te 0.000 2.574 12.426
Te 2.230 1.287 8.829
```

total energy: -79.7 eV for the cell shown
theoretical density: 7.5 Mg/m³
density of states at the Fermi level: 0.457 states/eV/atom
magnetization: 0.0000 μB per atom
formation energy without anion corrections: -1366 meV/atom